Entry 1:
{
  "formula": "RbAl2Br",
  "functional": "PBEsol",
  "state": "optimized geometry",
  "magnetic_moment_mub_per_cell": 0.0,
  "final_energy_ev_per_atom": -2.86,
  "raw_formation_energy_ev_per_atom": -0.0953,
  "dos_ef_per_ev_atom": 0.321,
  "cell": [[4.7214, 0.0000, 0.0000], [0.0000, 4.7214, 0.0000], [0.0000, 0.0000, 22.7067]],
  "species": ["Rb", "Rb", "Rb", "Rb", "Al", "Al", "Al", "Al", "Al", "Al", "Al", "Al", "Br", "Br", "Br", "Br"],
  "frac_coords": [[0.0000, 0.0000, 0.0000], [0.0000, 0.5000, 0.2500], [0.5000, 0.0000, 0.7500], [0.5000, 0.5000, 0.5000], [0.1153, 0.2500, 0.6250], [0.2500, 0.6153, 0.8750], [0.2500, 0.8847, 0.3750], [0.3847, 0.2500, 0.1250], [0.6153, 0.7500, 0.1250], [0.7500, 0.1153, 0.3750], [0.7500, 0.3847, 0.8750], [0.8847, 0.7500, 0.6250], [0.0000, 0.0000, 0.5000], [0.0000, 0.5000, 0.7500], [0.5000, 0.0000, 0.2500], [0.5000, 0.5000, 0.0000]]
}

Entry 2:
{
  "formula": "RbAlBr4",
  "functional": "PBEsol",
  "state": "optimized geometry",
  "magnetic_moment_mub_per_cell": 0.0,
  "final_energy_ev_per_atom": -3.47,
  "raw_formation_energy_ev_per_atom": -1.3660,
  "dos_ef_per_ev_atom": 0.000,
  "cell": [[11.4913, 0.0000, 0.0000], [0.0000, 7.3463, 0.0000], [0.0000, 0.0000, 10.0467]],
  "species": ["Rb", "Rb", "Rb", "Rb", "Al", "Al", "Al", "Al", "Br", "Br", "Br", "Br", "Br", "Br", "Br", "Br", "Br", "Br", "Br", "Br", "Br", "Br", "Br", "Br"],
  "frac_coords": [[0.1933, 0.2500, 0.2096], [0.3067, 0.7500, 0.7096], [0.6933, 0.2500, 0.2904], [0.8067, 0.7500, 0.7904], [0.0624, 0.2500, 0.6878], [0.4376, 0.7500, 0.1878], [0.5624, 0.2500, 0.8122], [0.9376, 0.7500, 0.3122], [0.0652, 0.5017, 0.8277], [0.0652, 0.9983, 0.8277], [0.1041, 0.7500, 0.4384], [0.2317, 0.2500, 0.5637], [0.2683, 0.7500, 0.0637], [0.3959, 0.2500, 0.9384], [0.4348, 0.0017, 0.3277], [0.4348, 0.4983, 0.3277], [0.5652, 0.5017, 0.6723], [0.5652, 0.9983, 0.6723], [0.6041, 0.7500, 0.0616], [0.7317, 0.2500, 0.9363], [0.7683, 0.7500, 0.4363], [0.8959, 0.2500, 0.5616], [0.9348, 0.0017, 0.1723], [0.9348, 0.4983, 0.1723]]
}

Entry 3:
{
  "formula": "Al2ReBr",
  "functional": "PBEsol",
  "state": "optimized geometry",
  "magnetic_moment_mub_per_cell": 0.1,
  "final_energy_ev_per_atom": -5.26,
  "raw_formation_energy_ev_per_atom": 0.5889,
  "e_above_lowest_polymorph_mev_per_atom": 148,
  "dos_ef_per_ev_atom": 0.896,
  "cell": [[3.9925, 0.0000, 0.0000], [0.0000, 3.9925, 0.0000], [0.0000, 0.0000, 7.9970]],
  "species": ["Al", "Al", "Al", "Al", "Re", "Re", "Br", "Br"],
  "frac_coords": [[0.0000, 0.5000, 0.2500], [0.0000, 0.5000, 0.7500], [0.5000, 0.0000, 0.2500], [0.5000, 0.0000, 0.7500], [0.0000, 0.0000, 0.0000], [0.5000, 0.5000, 0.5000], [0.0000, 0.0000, 0.5000], [0.5000, 0.5000, 0.0000]]
}

Entry 4:
{
  "formula": "AlReBr",
  "functional": "PBEsol",
  "state": "optimized geometry",
  "magnetic_moment_mub_per_cell": 0.0,
  "final_energy_ev_per_atom": -5.80,
  "raw_formation_energy_ev_per_atom": 0.6290,
  "dos_ef_per_ev_atom": 1.239,
  "cell": [[3.0324, 0.0000, 0.0000], [0.0000, 3.0324, 0.0000], [0.0000, 0.0000, 11.5231]],
  "species": ["Al", "Al", "Re", "Re", "Br", "Br"],
  "frac_coords": [[0.0000, 0.0000, 0.0000], [0.5000, 0.5000, 0.5000], [0.0000, 0.0000, 0.3751], [0.5000, 0.5000, 0.8751], [0.0000, 0.0000, 0.7214], [0.5000, 0.5000, 0.2214]]
}